No. 1
# Tb2AgSn3Se6 (GGA-PBE, optimized geometry)
data_Tb2AgSn3Se6
_chemical_formula_sum 'Tb4 Ag2 Sn6 Se12'
_cell_length_a 18.376
_cell_length_b 4.092
_cell_length_c 8.446
_cell_angle_alpha 90.00
_cell_angle_beta 91.72
_cell_angle_gamma 90.00
_space_group_name_H-M_alt 'C 1 2/m 1'
_space_group_IT_number 12
loop_
_space_group_symop_operation_xyz
'x,y,z'
'-x,-y,-z'
'-x,y,-z'
'x,-y,z'
'x+1/2,y+1/2,z'
'-x+1/2,-y+1/2,-z'
'-x+1/2,y+1/2,-z'
'x+1/2,-y+1/2,z'
loop_
_atom_site_label
_atom_site_type_symbol
_atom_site_fract_x
_atom_site_fract_y
_atom_site_fract_z
Tb1 Tb 0.176 0.000 0.369
Ag1 Ag 0.000 0.500 0.000
Sn1 Sn 0.000 0.500 0.500
Sn2 Sn 0.137 0.000 0.923
Se1 Se 0.032 0.000 0.241
Se2 Se 0.162 0.500 0.604
Se3 Se 0.207 0.500 0.140
# raw formation energy	-992	kJ/mol of formula units
# volume	26.45	Å³/atom
# DOS at the Fermi energy	5.941	states/eV/cell

No. 2
# Tb2Ag3SnSe6 (GGA-PBE, optimized geometry)
data_Tb2Ag3SnSe6
_chemical_formula_sum 'Tb4 Ag6 Sn2 Se12'
_cell_length_a 19.031
_cell_length_b 4.089
_cell_length_c 7.829
_cell_angle_alpha 90.00
_cell_angle_beta 101.16
_cell_angle_gamma 90.00
_space_group_name_H-M_alt 'C 1 2/m 1'
_space_group_IT_number 12
loop_
_space_group_symop_operation_xyz
'x,y,z'
'-x,-y,-z'
'-x,y,-z'
'x,-y,z'
'x+1/2,y+1/2,z'
'-x+1/2,-y+1/2,-z'
'-x+1/2,y+1/2,-z'
'x+1/2,-y+1/2,z'
loop_
_atom_site_label
_atom_site_type_symbol
_atom_site_fract_x
_atom_site_fract_y
_atom_site_fract_z
Tb1 Tb 0.171 0.000 0.325
Ag1 Ag 0.000 0.500 0.500
Ag2 Ag 0.197 0.000 0.836
Sn1 Sn 0.000 0.500 0.000
Se1 Se 0.013 0.000 0.268
Se2 Se 0.156 0.500 0.060
Se3 Se 0.173 0.500 0.585
# raw formation energy	-995	kJ/mol of formula units
# volume	24.90	Å³/atom
# DOS at the Fermi energy	3.852	states/eV/cell